Model i:
A relaxed SbS2N crystal, computed with GGA-PBE.

## Properties
* total moment: 1.49 μB/f.u.

CIF file:
```
data_SbS2N
_cell_length_a 6.454
_cell_length_b 6.454
_cell_length_c 6.454
_cell_angle_alpha 90.00
_cell_angle_beta 90.00
_cell_angle_gamma 90.00
_space_group_name_H-M_alt 'F m -3 m'
_space_group_IT_number 225
_space_group_name_Hall '-F 4 2 3'
loop_
_atom_site_label
_atom_site_type_symbol
_atom_site_fract_x
_atom_site_fract_y
_atom_site_fract_z
Sb1 Sb 0.000 0.000 0.000
S1 S 0.250 0.250 0.250
N1 N 0.000 0.000 0.500
```



Model ii:
A relaxed SbS2N crystal, computed with GGA-PBE.

## Properties
* total moment: 0.00 μB/f.u.

CIF file:
```
data_SbS2N
_cell_length_a 3.2747
_cell_length_b 3.2747
_cell_length_c 23.5996
_cell_angle_alpha 90.00
_cell_angle_beta 90.00
_cell_angle_gamma 120.00
_space_group_name_H-M_alt 'R -3 m'
_space_group_IT_number 166
_space_group_name_Hall '-R 3 2"'
loop_
_atom_site_label
_atom_site_type_symbol
_atom_site_fract_x
_atom_site_fract_y
_atom_site_fract_z
Sb1 Sb 0.0000 0.0000 0.0000
S1 S 0.0000 0.0000 0.1140
N1 N 0.0000 0.0000 0.5000
```



Going by the energies, model ii is most stable and the next is 0.171 eV/atom up.



Model i:
A relaxed SbS2N crystal, computed with GGA-PBE.

## Properties
* total moment: 0.00 μB/f.u.

CIF file:
```
data_SbS2N
_cell_length_a 5.413
_cell_length_b 5.413
_cell_length_c 10.462
_cell_angle_alpha 90.00
_cell_angle_beta 90.00
_cell_angle_gamma 90.00
_space_group_name_H-M_alt 'I -4 2 d'
_space_group_IT_number 122
_space_group_name_Hall 'I -4 2bw'
loop_
_atom_site_label
_atom_site_type_symbol
_atom_site_fract_x
_atom_site_fract_y
_atom_site_fract_z
Sb1 Sb 0.000 0.000 0.000
S1 S 0.082 0.250 0.625
N1 N 0.000 0.000 0.500
```



Model ii:
A relaxed SbS2N crystal, computed with GGA-PBE.

## Properties
* total moment: 0.00 μB/f.u.

CIF file:
```
data_SbS2N
_cell_length_a 3.597
_cell_length_b 5.066
_cell_length_c 5.609
_cell_angle_alpha 80.12
_cell_angle_beta 76.00
_cell_angle_gamma 84.35
_space_group_name_H-M_alt 'P 1'
_space_group_IT_number 1
loop_
_space_group_symop_operation_xyz
'x,y,z'
loop_
_atom_site_label
_atom_site_type_symbol
_atom_site_fract_x
_atom_site_fract_y
_atom_site_fract_z
Sb1 Sb 0.000 0.000 0.000
S1 S 0.403 0.934 0.319
S2 S 0.555 0.563 0.751
N1 N 0.149 0.585 0.933
```



Going by the energies, model ii is most stable and the next is 0.600 eV/atom up.



Model i:
A relaxed SbSN2 crystal, computed with GGA-PBE.

## Properties
* total moment: 0.00 μB/f.u.

CIF file:
```
data_SbSN2
_cell_length_a 5.593
_cell_length_b 5.593
_cell_length_c 8.034
_cell_angle_alpha 90.00
_cell_angle_beta 90.00
_cell_angle_gamma 90.00
_space_group_name_H-M_alt 'I -4 2 d'
_space_group_IT_number 122
_space_group_name_Hall 'I -4 2bw'
loop_
_atom_site_label
_atom_site_type_symbol
_atom_site_fract_x
_atom_site_fract_y
_atom_site_fract_z
Sb1 Sb 0.000 0.000 0.000
S1 S 0.000 0.000 0.500
N1 N 0.232 0.250 0.125
```



Model ii:
A relaxed SbSN2 crystal, computed with GGA-PBE.

## Properties
* total moment: 0.00 μB/f.u.

CIF file:
```
data_SbSN2
_cell_length_a 5.815
_cell_length_b 5.815
_cell_length_c 5.815
_cell_angle_alpha 90.00
_cell_angle_beta 90.00
_cell_angle_gamma 90.00
_space_group_name_H-M_alt 'F m -3 m'
_space_group_IT_number 225
_space_group_name_Hall '-F 4 2 3'
loop_
_atom_site_label
_atom_site_type_symbol
_atom_site_fract_x
_atom_site_fract_y
_atom_site_fract_z
Sb1 Sb 0.000 0.000 0.000
S1 S 0.000 0.000 0.500
N1 N 0.250 0.250 0.250
```



Going by the energies, model i is most stable and the next is 0.484 eV/atom up.



Model i:
A relaxed SbSN2 crystal, computed with GGA-PBE.

## Properties
* total moment: 0.00 μB/f.u.

CIF file:
```
data_SbSN2
_cell_length_a 3.2479
_cell_length_b 3.2479
_cell_length_c 18.6694
_cell_angle_alpha 90.00
_cell_angle_beta 90.00
_cell_angle_gamma 120.00
_space_group_name_H-M_alt 'R -3 m'
_space_group_IT_number 166
_space_group_name_Hall '-R 3 2"'
loop_
_atom_site_label
_atom_site_type_symbol
_atom_site_fract_x
_atom_site_fract_y
_atom_site_fract_z
Sb1 Sb 0.0000 0.0000 0.0000
S1 S 0.0000 0.0000 0.5000
N1 N 0.0000 0.0000 0.3938
```



Model ii:
A relaxed SbSN2 crystal, computed with GGA-PBE.

## Properties
* total moment: 0.00 μB/f.u.

CIF file:
```
data_SbSN2
_cell_length_a 3.412
_cell_length_b 4.004
_cell_length_c 9.573
_cell_angle_alpha 97.00
_cell_angle_beta 90.42
_cell_angle_gamma 113.90
_space_group_name_H-M_alt 'P 1'
_space_group_IT_number 1
loop_
_space_group_symop_operation_xyz
'x,y,z'
loop_
_atom_site_label
_atom_site_type_symbol
_atom_site_fract_x
_atom_site_fract_y
_atom_site_fract_z
Sb1 Sb 0.000 0.000 0.000
S1 S 0.743 0.499 0.145
N1 N 0.503 0.032 0.516
N2 N 0.622 0.259 0.606
```



Going by the energies, model ii is most stable and the next is 0.741 eV/atom up.



Model i:
A relaxed Sb2SN crystal, computed with GGA-PBE.

## Properties
* total moment: 0.00 μB/f.u.

CIF file:
```
data_Sb2SN
_cell_length_a 6.814
_cell_length_b 6.814
_cell_length_c 6.868
_cell_angle_alpha 90.00
_cell_angle_beta 90.00
_cell_angle_gamma 90.00
_space_group_name_H-M_alt 'I -4 2 d'
_space_group_IT_number 122
_space_group_name_Hall 'I -4 2bw'
loop_
_atom_site_label
_atom_site_type_symbol
_atom_site_fract_x
_atom_site_fract_y
_atom_site_fract_z
Sb1 Sb 0.188 0.250 0.125
S1 S 0.000 0.000 0.500
N1 N 0.000 0.000 0.000
```



Model ii:
A relaxed Sb2SN crystal, computed with GGA-PBE.

## Properties
* total moment: 0.00 μB/f.u.

CIF file:
```
data_Sb2SN
_cell_length_a 6.604
_cell_length_b 6.604
_cell_length_c 6.604
_cell_angle_alpha 90.00
_cell_angle_beta 90.00
_cell_angle_gamma 90.00
_space_group_name_H-M_alt 'F m -3 m'
_space_group_IT_number 225
_space_group_name_Hall '-F 4 2 3'
loop_
_atom_site_label
_atom_site_type_symbol
_atom_site_fract_x
_atom_site_fract_y
_atom_site_fract_z
Sb1 Sb 0.250 0.250 0.250
S1 S 0.000 0.000 0.000
N1 N 0.000 0.000 0.500
```



Going by the energies, model i is most stable and the next is 0.483 eV/atom up.



Model i:
A relaxed ScSbSN2 crystal, computed with GGA-PBE.

## Properties
* total moment: 0.45 μB/f.u.

CIF file:
```
data_ScSbSN2
_cell_length_a 4.095
_cell_length_b 4.095
_cell_length_c 5.162
_cell_angle_alpha 90.00
_cell_angle_beta 90.00
_cell_angle_gamma 90.00
_space_group_name_H-M_alt 'P 4/m m m'
_space_group_IT_number 123
_space_group_name_Hall '-P 4 2'
loop_
_atom_site_label
_atom_site_type_symbol
_atom_site_fract_x
_atom_site_fract_y
_atom_site_fract_z
Sc1 Sc 0.000 0.000 0.000
Sb1 Sb 0.500 0.500 0.500
S1 S 0.000 0.000 0.500
N1 N 0.000 0.500 0.000
```



Model ii:
A relaxed ScSbSN2 crystal, computed with GGA-PBE.

## Properties
* total moment: 0.00 μB/f.u.

CIF file:
```
data_ScSbSN2
_cell_length_a 4.019
_cell_length_b 4.019
_cell_length_c 5.027
_cell_angle_alpha 90.00
_cell_angle_beta 90.00
_cell_angle_gamma 90.00
_space_group_name_H-M_alt 'P 4/m m m'
_space_group_IT_number 123
_space_group_name_Hall '-P 4 2'
loop_
_atom_site_label
_atom_site_type_symbol
_atom_site_fract_x
_atom_site_fract_y
_atom_site_fract_z
Sc1 Sc 0.000 0.000 0.000
Sb1 Sb 0.500 0.500 0.500
S1 S 0.500 0.500 0.000
N1 N 0.000 0.500 0.500
```



Going by the energies, model ii is most stable and the next is 0.067 eV/atom up.



Model i:
A relaxed SbSe2SN crystal, computed with GGA-PBE.

## Properties
* total moment: 0.00 μB/f.u.

CIF file:
```
data_SbSe2SN
_cell_length_a 5.358
_cell_length_b 5.358
_cell_length_c 3.891
_cell_angle_alpha 90.00
_cell_angle_beta 90.00
_cell_angle_gamma 90.00
_space_group_name_H-M_alt 'P 4/m m m'
_space_group_IT_number 123
_space_group_name_Hall '-P 4 2'
loop_
_atom_site_label
_atom_site_type_symbol
_atom_site_fract_x
_atom_site_fract_y
_atom_site_fract_z
Sb1 Sb 0.000 0.000 0.000
Se1 Se 0.000 0.500 0.000
S1 S 0.500 0.500 0.500
N1 N 0.000 0.000 0.500
```



Model ii:
A relaxed SbSe2SN crystal, computed with GGA-PBE.

## Properties
* total moment: 0.21 μB/f.u.

CIF file:
```
data_SbSe2SN
_cell_length_a 5.246
_cell_length_b 5.246
_cell_length_c 3.448
_cell_angle_alpha 90.00
_cell_angle_beta 90.00
_cell_angle_gamma 90.00
_space_group_name_H-M_alt 'P 4/m m m'
_space_group_IT_number 123
_space_group_name_Hall '-P 4 2'
loop_
_atom_site_label
_atom_site_type_symbol
_atom_site_fract_x
_atom_site_fract_y
_atom_site_fract_z
Sb1 Sb 0.000 0.000 0.000
Se1 Se 0.000 0.500 0.500
S1 S 0.500 0.500 0.500
N1 N 0.500 0.500 0.000
```



Going by the energies, model ii is most stable and the next is 0.399 eV/atom up.



Model i:
A relaxed SnSbS2N crystal, computed with GGA-PBE.

## Properties
* total moment: 0.00 μB/f.u.

CIF file:
```
data_SnSbS2N
_cell_length_a 5.137
_cell_length_b 5.137
_cell_length_c 3.947
_cell_angle_alpha 90.00
_cell_angle_beta 90.00
_cell_angle_gamma 90.00
_space_group_name_H-M_alt 'P 4/m m m'
_space_group_IT_number 123
_space_group_name_Hall '-P 4 2'
loop_
_atom_site_label
_atom_site_type_symbol
_atom_site_fract_x
_atom_site_fract_y
_atom_site_fract_z
Sn1 Sn 0.000 0.000 0.000
Sb1 Sb 0.500 0.500 0.500
S1 S 0.000 0.500 0.500
N1 N 0.500 0.500 0.000
```



Model ii:
A relaxed SnSbS2N crystal, computed with GGA-PBE.

## Properties
* total moment: 0.00 μB/f.u.

CIF file:
```
data_SnSbS2N
_cell_length_a 5.116
_cell_length_b 5.116
_cell_length_c 3.945
_cell_angle_alpha 90.00
_cell_angle_beta 90.00
_cell_angle_gamma 90.00
_space_group_name_H-M_alt 'P 4/m m m'
_space_group_IT_number 123
_space_group_name_Hall '-P 4 2'
loop_
_atom_site_label
_atom_site_type_symbol
_atom_site_fract_x
_atom_site_fract_y
_atom_site_fract_z
Sn1 Sn 0.000 0.000 0.000
Sb1 Sb 0.500 0.500 0.500
S1 S 0.000 0.500 0.000
N1 N 0.000 0.000 0.500
```



Going by the energies, model i is most stable and the next is 0.196 eV/atom up.



Model i:
A relaxed SrSbS2N crystal, computed with GGA-PBE.

## Properties
* total moment: 0.28 μB/f.u.

CIF file:
```
data_SrSbS2N
_cell_length_a 5.161
_cell_length_b 5.161
_cell_length_c 4.022
_cell_angle_alpha 90.00
_cell_angle_beta 90.00
_cell_angle_gamma 90.00
_space_group_name_H-M_alt 'P 4/m m m'
_space_group_IT_number 123
_space_group_name_Hall '-P 4 2'
loop_
_atom_site_label
_atom_site_type_symbol
_atom_site_fract_x
_atom_site_fract_y
_atom_site_fract_z
Sr1 Sr 0.000 0.000 0.000
Sb1 Sb 0.500 0.500 0.500
S1 S 0.000 0.500 0.500
N1 N 0.500 0.500 0.000
```



Model ii:
A relaxed SrSbS2N crystal, computed with GGA-PBE.

## Properties
* total moment: 2.04 μB/f.u.

CIF file:
```
data_SrSbS2N
_cell_length_a 5.563
_cell_length_b 5.563
_cell_length_c 4.644
_cell_angle_alpha 90.00
_cell_angle_beta 90.00
_cell_angle_gamma 90.00
_space_group_name_H-M_alt 'P 4/m m m'
_space_group_IT_number 123
_space_group_name_Hall '-P 4 2'
loop_
_atom_site_label
_atom_site_type_symbol
_atom_site_fract_x
_atom_site_fract_y
_atom_site_fract_z
Sr1 Sr 0.000 0.000 0.000
Sb1 Sb 0.500 0.500 0.500
S1 S 0.000 0.500 0.000
N1 N 0.000 0.000 0.500
```



Going by the energies, model i is most stable and the next is 1.129 eV/atom up.



Model i:
A relaxed SrSbSN2 crystal, computed with GGA-PBE.

## Properties
* total moment: 0.64 μB/f.u.

CIF file:
```
data_SrSbSN2
_cell_length_a 4.151
_cell_length_b 4.151
_cell_length_c 5.252
_cell_angle_alpha 90.00
_cell_angle_beta 90.00
_cell_angle_gamma 90.00
_space_group_name_H-M_alt 'P 4/m m m'
_space_group_IT_number 123
_space_group_name_Hall '-P 4 2'
loop_
_atom_site_label
_atom_site_type_symbol
_atom_site_fract_x
_atom_site_fract_y
_atom_site_fract_z
Sr1 Sr 0.000 0.000 0.000
Sb1 Sb 0.500 0.500 0.500
S1 S 0.500 0.500 0.000
N1 N 0.000 0.500 0.500
```



Model ii:
A relaxed SrSbSN2 crystal, computed with GGA-PBE.

## Properties
* total moment: 3.05 μB/f.u.

CIF file:
```
data_SrSbSN2
_cell_length_a 4.725
_cell_length_b 4.725
_cell_length_c 5.764
_cell_angle_alpha 90.00
_cell_angle_beta 90.00
_cell_angle_gamma 90.00
_space_group_name_H-M_alt 'P 4/m m m'
_space_group_IT_number 123
_space_group_name_Hall '-P 4 2'
loop_
_atom_site_label
_atom_site_type_symbol
_atom_site_fract_x
_atom_site_fract_y
_atom_site_fract_z
Sr1 Sr 0.000 0.000 0.000
Sb1 Sb 0.500 0.500 0.500
S1 S 0.000 0.000 0.500
N1 N 0.000 0.500 0.000
```



Going by the energies, model i is most stable and the next is 1.258 eV/atom up.